1.
BeSi2H, optimized geometry, DFT PBE; E = -68.29 eV for the cell shown
1.0
7.2419 0.0000 0.0000
0.0000 3.9891 0.0000
-2.7850 0.0000 8.6112
Be Si H
4 8 4
Cartesian
0.0000 0.9975 0.0000
0.0000 2.9916 0.0000
3.6209 0.9970 0.0000
3.6209 2.9921 0.0000
-0.9630 0.0000 6.1776
-0.9740 1.9946 7.4758
0.2355 0.0000 4.1407
1.4722 1.9946 4.1262
2.6579 1.9946 6.1776
2.6469 0.0000 7.4758
3.8564 1.9946 4.1407
5.0931 0.0000 4.1262
0.6399 0.0000 0.8201
2.9872 0.0000 0.8248
4.2609 1.9946 0.8201
6.6081 1.9946 0.8248

2.
Cs4Np3SnSe8, optimized geometry, DFT PBE; E = -92.35 eV for the cell shown
1.0
4.3724 2.5244 8.2880
-4.3724 2.5244 8.2880
0.0000 -5.0488 8.2880
Cs Np Sn Se
4 3 1 8
Cartesian
0.0000 0.0000 0.0000
-2.1862 -1.2622 8.2880
-2.1862 1.2622 16.5760
0.0000 2.5244 8.2880
-4.3724 0.0000 12.4320
-2.1862 1.2622 4.1440
2.1862 1.2622 4.1440
0.0000 0.0000 12.4320
-2.2776 -1.3150 13.9551
0.0000 0.0000 5.6673
0.0000 -2.6300 10.9089
-2.2776 1.3150 10.9089
2.2776 -1.3150 13.9552
0.0000 2.6300 13.9552
0.0000 0.0000 19.1967
2.2776 1.3150 10.9089

Q: Which value of E does entry 1 give?
A: -68.29 eV for the cell shown

Q: Among the records above, which one has the highest E?
A: BeSi2H

Q: E of number 1 (BeSi2H)?
A: -68.29 eV for the cell shown